No. 1
Below is a geometry-optimized Bi structure, with properties calculated at the PBE level.

```
Bi
1.0
11.5577 0.0000 0.0000
0.0000 11.5577 0.0000
0.0000 0.0000 4.4517
Bi
16
Direct
0.9086 0.6561 0.5000
0.0914 0.3439 0.5000
0.3439 0.9086 0.5000
0.6561 0.0914 0.5000
0.8415 0.4060 0.0000
0.1585 0.5940 0.0000
0.5940 0.8415 0.0000
0.4060 0.1585 0.0000
0.6561 0.3693 0.5000
0.3439 0.6307 0.5000
0.6307 0.6561 0.5000
0.3693 0.3439 0.5000
0.8719 0.8414 0.0000
0.1281 0.1586 0.0000
0.1586 0.8719 0.0000
0.8414 0.1281 0.0000
```

## Properties
Its formation enthalpy at 0 K is 0.106 eV per atom. The calculation puts the density of states at the Fermi level at 7.5 states/eV/cell. The magnetization comes out at 0.0 μB/f.u. As for the offset from the most stable computed form: 0.106 eV per atom. The total energy is -3.78 eV per atom. The symmetry is No. 83.

No. 2
Below is a geometry-optimized La2TaBe structure, with properties calculated at the PBE level.

```
La2TaBe
1.0
-3.6810 0.8885 3.2922
-4.7635 0.2198 -1.5616
-3.2115 -3.6573 1.2201
Be La Ta
1 2 1
Direct
0.5000 0.5000 0.5000
0.0000 0.0000 0.0000
0.2500 0.2500 0.2500
0.7500 0.7500 0.7500
```

## Properties
Its formation enthalpy at 0 K is 0.661 eV per atom. The calculation puts the density of states at the Fermi level at 6.1 states/eV/cell. The magnetization comes out at 0.0 μB/f.u. The total energy is -5.70 eV per atom. The symmetry is No. 216.

No. 3
Below is a geometry-optimized CsBaSi2Hg structure, with properties calculated at the PBE level.

```
CsBaSi2Hg
1.0
-2.3044 -0.8792 5.3060
6.6363 -2.2940 2.5019
1.3379 5.4974 1.4920
Cs Si Hg Ba
1 2 1 1
Direct
0.0000 0.5000 0.0000
0.0000 0.0000 0.5000
0.5000 0.0000 0.0000
0.5000 0.5000 0.5000
0.0000 0.0000 0.0000
```

## Properties
The calculation puts the density of states at the Fermi level at 5.5 states/eV/cell. The magnetization comes out at 0.0 μB/f.u. As for the energy relative to the elements, uncorrected: 936 meV per atom. The total energy is -1.85 eV per atom. The symmetry is No. 123.

No. 4
Below is a geometry-optimized Fe2IrOs structure, with properties calculated at the PBE level.

```
Fe2IrOs
1.0
8.5418 -0.0322 -0.0189
8.1221 2.6449 -0.0189
8.1221 1.2734 2.3182
Fe Ir Os
2 1 1
Direct
0.9978 0.9978 0.9978
0.2529 0.2529 0.2529
0.5031 0.5031 0.5031
0.7463 0.7463 0.7463
```

## Properties
Its formation enthalpy at 0 K is 0.107 eV per atom. The calculation puts the density of states at the Fermi level at 5.3 states/eV/cell. The magnetization comes out at 5.0 μB/f.u. The total energy is -9.15 eV per atom. The symmetry is No. 160.